# Sn4Sb2I3, relaxed, DFT PBE
data_Sn4Sb2I3
_chemical_formula_sum 'Sn8 Sb4 I6'
_space_group_name_H-M_alt 'C 1 2/m 1'
_space_group_IT_number 12
_cell_length_a 7.725
_cell_length_b 4.460
_cell_length_c 19.011
_cell_angle_alpha 90.00
_cell_angle_beta 90.03
_cell_angle_gamma 90.00
loop_
_space_group_symop_operation_xyz
'x,y,z'
'-x,-y,-z'
'-x,y,-z'
'x,-y,z'
'x+1/2,y+1/2,z'
'-x+1/2,-y+1/2,-z'
'-x+1/2,y+1/2,-z'
'x+1/2,-y+1/2,z'
loop_
_atom_site_label
_atom_site_type_symbol
_atom_site_fract_x
_atom_site_fract_y
_atom_site_fract_z
Sn1 Sn 0.000 0.000 0.199
Sn2 Sn 0.166 0.500 0.622
Sb1 Sb 0.167 0.500 0.295
I1 I 0.000 0.000 0.500
I2 I 0.167 0.500 0.903
# Final energy = -3.41 eV per atom